# PuSiPt3 (PBE, relaxed)
# ρ   14.83 Mg/m³
# Density of states at the Fermi level   13.83 states/eV/f.u.
# E_tot   -165.9 eV/cell
# Polymorph energy (0 for the lowest one)   166 meV/atom
data_PuSiPt3
_chemical_formula_sum 'Pu4 Si4 Pt12'
_symmetry_space_group_name_H-M 'I m m a'
_symmetry_Int_Tables_number 74
_symmetry_space_group_name_Hall '-I 2b 2'
_cell_length_a 5.484
_cell_length_b 8.566
_cell_length_c 8.175
_cell_angle_alpha 90.00
_cell_angle_beta 90.00
_cell_angle_gamma 90.00
loop_
_atom_site_label
_atom_site_type_symbol
_atom_site_fract_x
_atom_site_fract_y
_atom_site_fract_z
Pu1 Pu 0.000 0.250 0.034
Si1 Si 0.000 0.000 0.500
Pt1 Pt 0.000 0.250 0.631
Pt2 Pt 0.250 0.008 0.250

***

# Pu4Si2Pt5 (PBE, relaxed)
# ρ   14.86 Mg/m³
# Density of states at the Fermi level   43.03 states/eV/f.u.
# E_tot   -106.9 eV/cell
data_Pu4Si2Pt5
_chemical_formula_sum 'Pu4 Si2 Pt5'
_symmetry_space_group_name_H-M 'P 1 2/m 1'
_symmetry_Int_Tables_number 10
_symmetry_space_group_name_Hall '-P 2y'
_cell_length_a 6.645
_cell_length_b 4.100
_cell_length_c 8.252
_cell_angle_alpha 90.00
_cell_angle_beta 93.84
_cell_angle_gamma 90.00
loop_
_atom_site_label
_atom_site_type_symbol
_atom_site_fract_x
_atom_site_fract_y
_atom_site_fract_z
Pu1 Pu 0.224 0.000 0.382
Pu2 Pu 0.251 0.000 0.903
Si1 Si 0.085 0.500 0.132
Pt1 Pt 0.141 0.500 0.647
Pt2 Pt 0.447 0.500 0.168
Pt3 Pt 0.500 0.500 0.500

***

# Pu2Si6Pt21 (PBE, relaxed)
# ρ   16.80 Mg/m³
# Density of states at the Fermi level   42.00 states/eV/f.u.
# E_tot   -819.4 eV/cell
data_Pu2Si6Pt21
_chemical_formula_sum 'Pu8 Si24 Pt84'
_symmetry_space_group_name_H-M 'F m -3 m'
_symmetry_Int_Tables_number 225
_symmetry_space_group_name_Hall '-F 4 2 3'
_cell_length_a 12.340
_cell_length_b 12.340
_cell_length_c 12.340
_cell_angle_alpha 90.00
_cell_angle_beta 90.00
_cell_angle_gamma 90.00
loop_
_atom_site_label
_atom_site_type_symbol
_atom_site_fract_x
_atom_site_fract_y
_atom_site_fract_z
Pu1 Pu 0.250 0.250 0.250
Si1 Si 0.000 0.000 0.235
Pt1 Pt 0.000 0.000 0.500
Pt2 Pt 0.000 0.173 0.327
Pt3 Pt 0.115 0.115 0.115

***

# PuSi2Pt6 (PBE, relaxed)
# ρ   14.27 Mg/m³
# Density of states at the Fermi level   15.61 states/eV/f.u.
# E_tot   -67.4 eV/cell
data_PuSi2Pt6
_chemical_formula_sum 'Pu1 Si2 Pt6'
_symmetry_space_group_name_H-M 'P 6/m m m'
_symmetry_Int_Tables_number 191
_symmetry_space_group_name_Hall '-P 6 2'
_cell_length_a 5.5463
_cell_length_b 5.5463
_cell_length_c 6.4227
_cell_angle_alpha 90.00
_cell_angle_beta 90.00
_cell_angle_gamma 120.00
loop_
_atom_site_label
_atom_site_type_symbol
_atom_site_fract_x
_atom_site_fract_y
_atom_site_fract_z
Pu1 Pu 0.0000 0.0000 0.0000
Si1 Si 0.3333 0.6667 0.5000
Pt1 Pt 0.0000 0.5000 0.2204

***

# PuSiPt2 (PBE, relaxed)
# ρ   15.32 Mg/m³
# Density of states at the Fermi level   10.75 states/eV/f.u.
# E_tot   -282.1 eV/cell
data_PuSiPt2
_chemical_formula_sum 'Pu8 Si8 Pt16'
_symmetry_space_group_name_H-M 'P n m a'
_symmetry_Int_Tables_number 62
_symmetry_space_group_name_Hall '-P 2ac 2n'
_cell_length_a 15.020
_cell_length_b 6.981
_cell_length_c 5.477
_cell_angle_alpha 90.00
_cell_angle_beta 90.00
_cell_angle_gamma 90.00
loop_
_atom_site_label
_atom_site_type_symbol
_atom_site_fract_x
_atom_site_fract_y
_atom_site_fract_z
Pu1 Pu 0.111 0.250 0.246
Pu2 Pu 0.138 0.750 0.026
Si1 Si 0.067 0.750 0.521
Si2 Si 0.183 0.250 0.763
Pt1 Pt 0.035 0.050 0.753
Pt2 Pt 0.213 0.552 0.544

***

# Pu2SiSnPt6 (PBE, relaxed)
# ρ   14.50 Mg/m³
# Density of states at the Fermi level   30.54 states/eV/f.u.
# E_tot   -161.9 eV/cell
data_Pu2SiSnPt6
_chemical_formula_sum 'Pu4 Si2 Sn2 Pt12'
_symmetry_space_group_name_H-M 'P m m n'
_symmetry_Int_Tables_number 59
_cell_length_a 5.565
_cell_length_b 8.620
_cell_length_c 8.621
_cell_angle_alpha 90.00
_cell_angle_beta 90.00
_cell_angle_gamma 90.00
loop_
_symmetry_equiv_pos_as_xyz
'x,y,z'
'-x,-y,-z'
'-x+1/2,-y+1/2,z'
'x+1/2,y+1/2,-z'
'x+1/2,-y,-z'
'-x+1/2,y,z'
'-x,y+1/2,-z'
'x,-y+1/2,z'
loop_
_atom_site_label
_atom_site_type_symbol
_atom_site_fract_x
_atom_site_fract_y
_atom_site_fract_z
Pu1 Pu 0.250 0.007 0.237
Si1 Si 0.250 0.750 0.737
Sn1 Sn 0.250 0.250 0.784
Pt1 Pt 0.002 0.250 0.501
Pt2 Pt 0.003 0.750 0.960
Pt3 Pt 0.250 0.502 0.606

***

# Sr2PuSi3Pt12 (PBE, relaxed)
# ρ   12.60 Mg/m³
# Density of states at the Fermi level   15.67 states/eV/f.u.
# E_tot   -341.4 eV/cell
data_Sr2PuSi3Pt12
_chemical_formula_sum 'Sr6 Pu3 Si9 Pt36'
_symmetry_space_group_name_H-M 'R -3 m'
_symmetry_Int_Tables_number 166
_symmetry_space_group_name_Hall '-R 3 2"'
_cell_length_a 8.3253
_cell_length_b 8.3253
_cell_length_c 18.7362
_cell_angle_alpha 90.00
_cell_angle_beta 90.00
_cell_angle_gamma 120.00
loop_
_atom_site_label
_atom_site_type_symbol
_atom_site_fract_x
_atom_site_fract_y
_atom_site_fract_z
Sr1 Sr 0.0000 0.0000 0.0998
Pu1 Pu 0.0000 0.0000 0.5000
Si1 Si 0.0000 0.5000 0.0000
Pt1 Pt 0.0208 0.5104 0.8740
Pt2 Pt 0.0399 0.5200 0.3664

***

# PuTh2Si4Pt3 (PBE, relaxed)
# ρ   11.86 Mg/m³
# Density of states at the Fermi level   12.75 states/eV/f.u.
# E_tot   -77.6 eV/cell
data_PuTh2Si4Pt3
_chemical_formula_sum 'Pu1 Th2 Si4 Pt3'
_symmetry_space_group_name_H-M 'P -4 m 2'
_symmetry_Int_Tables_number 115
_symmetry_space_group_name_Hall 'P -4 -2'
_cell_length_a 4.316
_cell_length_b 4.316
_cell_length_c 10.563
_cell_angle_alpha 90.00
_cell_angle_beta 90.00
_cell_angle_gamma 90.00
loop_
_atom_site_label
_atom_site_type_symbol
_atom_site_fract_x
_atom_site_fract_y
_atom_site_fract_z
Pu1 Pu 0.000 0.000 0.000
Th1 Th 0.000 0.500 0.738
Si1 Si 0.000 0.000 0.500
Si2 Si 0.000 0.500 0.164
Si3 Si 0.500 0.500 0.500
Pt1 Pt 0.000 0.500 0.393
Pt2 Pt 0.500 0.500 0.000

***

# PuTh2Si3Pt4 (PBE, relaxed)
# ρ   13.14 Mg/m³
# Density of states at the Fermi level   11.20 states/eV/f.u.
# E_tot   -79.2 eV/cell
data_PuTh2Si3Pt4
_chemical_formula_sum 'Pu1 Th2 Si3 Pt4'
_symmetry_space_group_name_H-M 'P -4 m 2'
_symmetry_Int_Tables_number 115
_symmetry_space_group_name_Hall 'P -4 -2'
_cell_length_a 4.262
_cell_length_b 4.262
_cell_length_c 10.937
_cell_angle_alpha 90.00
_cell_angle_beta 90.00
_cell_angle_gamma 90.00
loop_
_atom_site_label
_atom_site_type_symbol
_atom_site_fract_x
_atom_site_fract_y
_atom_site_fract_z
Pu1 Pu 0.000 0.000 0.000
Th1 Th 0.000 0.500 0.729
Si1 Si 0.000 0.500 0.383
Si2 Si 0.500 0.500 0.000
Pt1 Pt 0.000 0.000 0.500
Pt2 Pt 0.000 0.500 0.165
Pt3 Pt 0.500 0.500 0.500

***

# Y2PuSi4Pt3 (PBE, relaxed)
# ρ   9.62 Mg/m³
# Density of states at the Fermi level   12.32 states/eV/f.u.
# E_tot   -75.3 eV/cell
data_Y2PuSi4Pt3
_chemical_formula_sum 'Y2 Pu1 Si4 Pt3'
_symmetry_space_group_name_H-M 'P -4 m 2'
_symmetry_Int_Tables_number 115
_symmetry_space_group_name_Hall 'P -4 -2'
_cell_length_a 4.179
_cell_length_b 4.179
_cell_length_c 11.066
_cell_angle_alpha 90.00
_cell_angle_beta 90.00
_cell_angle_gamma 90.00
loop_
_atom_site_label
_atom_site_type_symbol
_atom_site_fract_x
_atom_site_fract_y
_atom_site_fract_z
Y1 Y 0.000 0.500 0.231
Pu1 Pu 0.000 0.000 0.500
Si1 Si 0.000 0.000 0.000
Si2 Si 0.000 0.500 0.671
Si3 Si 0.500 0.500 0.000
Pt1 Pt 0.000 0.500 0.888
Pt2 Pt 0.500 0.500 0.500

***

# Pu2ZnSi4Pt3 (PBE, relaxed)
# ρ   11.78 Mg/m³
# Density of states at the Fermi level   25.15 states/eV/f.u.
# E_tot   -77.5 eV/cell
data_Pu2ZnSi4Pt3
_chemical_formula_sum 'Pu2 Zn1 Si4 Pt3'
_symmetry_space_group_name_H-M 'P -4 m 2'
_symmetry_Int_Tables_number 115
_symmetry_space_group_name_Hall 'P -4 -2'
_cell_length_a 4.197
_cell_length_b 4.197
_cell_length_c 10.011
_cell_angle_alpha 90.00
_cell_angle_beta 90.00
_cell_angle_gamma 90.00
loop_
_atom_site_label
_atom_site_type_symbol
_atom_site_fract_x
_atom_site_fract_y
_atom_site_fract_z
Pu1 Pu 0.000 0.500 0.250
Zn1 Zn 0.000 0.000 0.500
Si1 Si 0.000 0.000 0.000
Si2 Si 0.000 0.500 0.640
Si3 Si 0.500 0.500 0.000
Pt1 Pt 0.000 0.500 0.879
Pt2 Pt 0.500 0.500 0.500

***

# Pu2ZnSi3Pt12 (PBE, relaxed)
# ρ   14.25 Mg/m³
# Density of states at the Fermi level   32.03 states/eV/f.u.
# E_tot   -378.6 eV/cell
data_Pu2ZnSi3Pt12
_chemical_formula_sum 'Pu6 Zn3 Si9 Pt36'
_symmetry_space_group_name_H-M 'R -3 m'
_symmetry_Int_Tables_number 166
_symmetry_space_group_name_Hall '-R 3 2"'
_cell_length_a 8.1972
_cell_length_b 8.1972
_cell_length_c 17.8911
_cell_angle_alpha 90.00
_cell_angle_beta 90.00
_cell_angle_gamma 120.00
loop_
_atom_site_label
_atom_site_type_symbol
_atom_site_fract_x
_atom_site_fract_y
_atom_site_fract_z
Pu1 Pu 0.0000 0.0000 0.1143
Zn1 Zn 0.0000 0.0000 0.5000
Si1 Si 0.0000 0.5000 0.0000
Pt1 Pt 0.0073 0.5037 0.8697
Pt2 Pt 0.0225 0.5112 0.3704

***

# Pu2ZnSi3Pt4 (PBE, relaxed)
# ρ   13.14 Mg/m³
# Density of states at the Fermi level   26.98 states/eV/f.u.
# E_tot   -78.7 eV/cell
data_Pu2ZnSi3Pt4
_chemical_formula_sum 'Pu2 Zn1 Si3 Pt4'
_symmetry_space_group_name_H-M 'P -4 m 2'
_symmetry_Int_Tables_number 115
_symmetry_space_group_name_Hall 'P -4 -2'
_cell_length_a 4.202
_cell_length_b 4.202
_cell_length_c 10.147
_cell_angle_alpha 90.00
_cell_angle_beta 90.00
_cell_angle_gamma 90.00
loop_
_atom_site_label
_atom_site_type_symbol
_atom_site_fract_x
_atom_site_fract_y
_atom_site_fract_z
Pu1 Pu 0.000 0.500 0.245
Zn1 Zn 0.500 0.500 0.000
Si1 Si 0.000 0.000 0.000
Si2 Si 0.000 0.500 0.631
Pt1 Pt 0.000 0.000 0.500
Pt2 Pt 0.000 0.500 0.864
Pt3 Pt 0.500 0.500 0.500

***

# SmPuPt2 (PBE, relaxed)
# ρ   14.69 Mg/m³
# Density of states at the Fermi level   11.77 states/eV/f.u.
# E_tot   -34.8 eV/cell
# ΔH_f (0 K)   -0.91 eV per atom
data_SmPuPt2
_chemical_formula_sum 'Sm1 Pu1 Pt2'
_symmetry_space_group_name_H-M 'P 4/m m m'
_symmetry_Int_Tables_number 123
_symmetry_space_group_name_Hall '-P 4 2'
_cell_length_a 5.027
_cell_length_b 5.027
_cell_length_c 3.510
_cell_angle_alpha 90.00
_cell_angle_beta 90.00
_cell_angle_gamma 90.00
loop_
_atom_site_label
_atom_site_type_symbol
_atom_site_fract_x
_atom_site_fract_y
_atom_site_fract_z
Sm1 Sm 0.000 0.000 0.000
Pu1 Pu 0.500 0.500 0.000
Pt1 Pt 0.000 0.500 0.500

***

# SmPu4Pt5 (PBE, relaxed)
# ρ   15.91 Mg/m³
# Density of states at the Fermi level   44.10 states/eV/f.u.
# E_tot   -100.1 eV/cell
# ΔH_f (0 K)   -0.79 eV per atom
data_SmPu4Pt5
_chemical_formula_sum 'Sm1 Pu4 Pt5'
_symmetry_space_group_name_H-M 'P 4/m m m'
_symmetry_Int_Tables_number 123
_symmetry_space_group_name_Hall '-P 4 2'
_cell_length_a 3.496
_cell_length_b 3.496
_cell_length_c 17.945
_cell_angle_alpha 90.00
_cell_angle_beta 90.00
_cell_angle_gamma 90.00
loop_
_atom_site_label
_atom_site_type_symbol
_atom_site_fract_x
_atom_site_fract_y
_atom_site_fract_z
Sm1 Sm 0.000 0.000 0.000
Pu1 Pu 0.000 0.000 0.202
Pu2 Pu 0.000 0.000 0.402
Pt1 Pt 0.500 0.500 0.100
Pt2 Pt 0.500 0.500 0.300
Pt3 Pt 0.500 0.500 0.500

***

# SmPuPt2 (PBE, relaxed)
# ρ   14.05 Mg/m³
# Density of states at the Fermi level   12.73 states/eV/f.u.
# E_tot   -70.1 eV/cell
# ΔH_f (0 K)   -0.98 eV per atom
data_SmPuPt2
_chemical_formula_sum 'Sm2 Pu2 Pt4'
_symmetry_space_group_name_H-M 'A m m 2'
_symmetry_Int_Tables_number 38
_symmetry_space_group_name_Hall 'A 2 -2'
_cell_length_a 4.402
_cell_length_b 3.870
_cell_length_c 10.889
_cell_angle_alpha 90.00
_cell_angle_beta 90.00
_cell_angle_gamma 90.00
loop_
_atom_site_label
_atom_site_type_symbol
_atom_site_fract_x
_atom_site_fract_y
_atom_site_fract_z
Sm1 Sm 0.000 0.000 0.000
Pu1 Pu 0.500 0.000 0.276
Pt1 Pt 0.000 0.000 0.730
Pt2 Pt 0.500 0.000 0.551

***

# SmPu2Pt (PBE, relaxed)
# ρ   14.65 Mg/m³
# Density of states at the Fermi level   16.28 states/eV/f.u.
# E_tot   -160.2 eV/cell
# ΔH_f (0 K)   -0.16 eV per atom
# Polymorph energy (0 for the lowest one)   125 meV/atom
data_SmPu2Pt
_chemical_formula_sum 'Sm4 Pu8 Pt4'
_symmetry_space_group_name_H-M 'F m -3 m'
_symmetry_Int_Tables_number 225
_symmetry_space_group_name_Hall '-F 4 2 3'
_cell_length_a 7.229
_cell_length_b 7.229
_cell_length_c 7.229
_cell_angle_alpha 90.00
_cell_angle_beta 90.00
_cell_angle_gamma 90.00
loop_
_atom_site_label
_atom_site_type_symbol
_atom_site_fract_x
_atom_site_fract_y
_atom_site_fract_z
Sm1 Sm 0.000 0.000 0.000
Pu1 Pu 0.250 0.250 0.250
Pt1 Pt 0.000 0.000 0.500

***

# SmPu3Pt8 (PBE, relaxed)
# ρ   17.51 Mg/m³
# Density of states at the Fermi level   33.81 states/eV/f.u.
# E_tot   -106.2 eV/cell
# ΔH_f (0 K)   -0.85 eV per atom
data_SmPu3Pt8
_chemical_formula_sum 'Sm1 Pu3 Pt8'
_symmetry_space_group_name_H-M 'P 3 m 1'
_symmetry_Int_Tables_number 156
_symmetry_space_group_name_Hall 'P 3 -2"'
_cell_length_a 5.4666
_cell_length_b 5.4666
_cell_length_c 8.9514
_cell_angle_alpha 90.00
_cell_angle_beta 90.00
_cell_angle_gamma 120.00
loop_
_atom_site_label
_atom_site_type_symbol
_atom_site_fract_x
_atom_site_fract_y
_atom_site_fract_z
Sm1 Sm 0.0000 0.0000 0.0000
Pu1 Pu 0.0000 0.0000 0.3761
Pu2 Pu 0.6667 0.3333 0.4927
Pu3 Pu 0.6667 0.3333 0.8595
Pt1 Pt 0.1646 0.3293 0.6816
Pt2 Pt 0.3333 0.6667 0.4308
Pt3 Pt 0.3333 0.6667 0.9314
Pt4 Pt 0.5025 0.0051 0.1814

***

# SmPu2Pt (PBE, relaxed)
# ρ   13.36 Mg/m³
# Density of states at the Fermi level   14.50 states/eV/f.u.
# E_tot   -40.6 eV/cell
# ΔH_f (0 K)   -0.28 eV per atom
# Polymorph energy (0 for the lowest one)   0 meV/atom
data_SmPu2Pt
_chemical_formula_sum 'Sm1 Pu2 Pt1'
_symmetry_space_group_name_H-M 'P 4/m m m'
_symmetry_Int_Tables_number 123
_symmetry_space_group_name_Hall '-P 4 2'
_cell_length_a 3.698
_cell_length_b 3.698
_cell_length_c 7.572
_cell_angle_alpha 90.00
_cell_angle_beta 90.00
_cell_angle_gamma 90.00
loop_
_atom_site_label
_atom_site_type_symbol
_atom_site_fract_x
_atom_site_fract_y
_atom_site_fract_z
Sm1 Sm 0.000 0.000 0.000
Pu1 Pu 0.500 0.500 0.300
Pt1 Pt 0.000 0.000 0.500

***

# SmPu2Pt9 (PBE, relaxed)
# ρ   17.57 Mg/m³
# Density of states at the Fermi level   26.84 states/eV/f.u.
# E_tot   -291.5 eV/cell
# ΔH_f (0 K)   -0.79 eV per atom
data_SmPu2Pt9
_chemical_formula_sum 'Sm3 Pu6 Pt27'
_symmetry_space_group_name_H-M 'R -3 m'
_symmetry_Int_Tables_number 166
_symmetry_space_group_name_Hall '-R 3 2"'
_cell_length_a 5.4155
_cell_length_b 5.4155
_cell_length_c 26.7222
_cell_angle_alpha 90.00
_cell_angle_beta 90.00
_cell_angle_gamma 120.00
loop_
_atom_site_label
_atom_site_type_symbol
_atom_site_fract_x
_atom_site_fract_y
_atom_site_fract_z
Sm1 Sm 0.0000 0.0000 0.0000
Pu1 Pu 0.0000 0.0000 0.1424
Pt1 Pt 0.0000 0.0000 0.3328
Pt2 Pt 0.0000 0.0000 0.5000
Pt3 Pt 0.0035 0.5017 0.9151